<A>
# BTePd2Pt | the Alexandria database | PBE-GGA | optimized geometry
# magnetic moment: 0.000 μB/f.u.
data_BTePd2Pt
_chemical_formula_sum 'B1 Te1 Pd2 Pt1'
_space_group_name_H-M_alt 'P 4/m m m'
_space_group_IT_number 123
_space_group_name_Hall '-P 4 2'
_cell_length_a 4.925
_cell_length_b 4.925
_cell_length_c 4.314
_cell_angle_alpha 90.00
_cell_angle_beta 90.00
_cell_angle_gamma 90.00
loop_
_atom_site_label
_atom_site_type_symbol
_atom_site_fract_x
_atom_site_fract_y
_atom_site_fract_z
B1 B 0.000 0.000 0.000
Te1 Te 0.000 0.000 0.500
Pd1 Pd 0.000 0.500 0.500
Pt1 Pt 0.500 0.500 0.000


<B>
# BTePd2Pt | the Alexandria database | PBE-GGA | optimized geometry
# magnetic moment: 0.000 μB/f.u.
data_BTePd2Pt
_chemical_formula_sum 'B1 Te1 Pd2 Pt1'
_space_group_name_H-M_alt 'P 4/m m m'
_space_group_IT_number 123
_space_group_name_Hall '-P 4 2'
_cell_length_a 4.351
_cell_length_b 4.351
_cell_length_c 4.239
_cell_angle_alpha 90.00
_cell_angle_beta 90.00
_cell_angle_gamma 90.00
loop_
_atom_site_label
_atom_site_type_symbol
_atom_site_fract_x
_atom_site_fract_y
_atom_site_fract_z
B1 B 0.000 0.000 0.000
Te1 Te 0.500 0.500 0.500
Pd1 Pd 0.000 0.500 0.000
Pt1 Pt 0.000 0.000 0.500


On energetic grounds, <B> is preferred over the next structure by 1357 meV per atom.


<A>
# Rb2B2Pd | the Alexandria database | PBE-GGA | optimized geometry
# magnetic moment: 0.000 μB/f.u.
data_Rb2B2Pd
_chemical_formula_sum 'Rb4 B4 Pd2'
_space_group_name_H-M_alt 'P 4/m b m'
_space_group_IT_number 127
_space_group_name_Hall '-P 4 2ab'
_cell_length_a 6.081
_cell_length_b 6.081
_cell_length_c 5.389
_cell_angle_alpha 90.00
_cell_angle_beta 90.00
_cell_angle_gamma 90.00
loop_
_atom_site_label
_atom_site_type_symbol
_atom_site_fract_x
_atom_site_fract_y
_atom_site_fract_z
Rb1 Rb 0.196 0.304 0.000
B1 B 0.095 0.595 0.500
Pd1 Pd 0.000 0.000 0.500


<B>
# Rb2B2Pd | the Alexandria database | PBE-GGA | optimized geometry
# magnetic moment: 0.835 μB/f.u.
data_Rb2B2Pd
_chemical_formula_sum 'Rb4 B4 Pd2'
_space_group_name_H-M_alt 'I 4/m m m'
_space_group_IT_number 139
_space_group_name_Hall '-I 4 2'
_cell_length_a 4.652
_cell_length_b 4.652
_cell_length_c 11.570
_cell_angle_alpha 90.00
_cell_angle_beta 90.00
_cell_angle_gamma 90.00
loop_
_atom_site_label
_atom_site_type_symbol
_atom_site_fract_x
_atom_site_fract_y
_atom_site_fract_z
Rb1 Rb 0.000 0.500 0.250
B1 B 0.000 0.000 0.068
Pd1 Pd 0.000 0.000 0.500


On energetic grounds, <A> is preferred over the next structure by 458 meV per atom.


<A>
# Re3BPd | the Alexandria database | PBE-GGA | optimized geometry
# magnetic moment: 0.000 μB/f.u.
data_Re3BPd
_chemical_formula_sum 'Re3 B1 Pd1'
_space_group_name_H-M_alt 'P m -3 m'
_space_group_IT_number 221
_space_group_name_Hall '-P 4 2 3'
_cell_length_a 4.112
_cell_length_b 4.112
_cell_length_c 4.112
_cell_angle_alpha 90.00
_cell_angle_beta 90.00
_cell_angle_gamma 90.00
loop_
_atom_site_label
_atom_site_type_symbol
_atom_site_fract_x
_atom_site_fract_y
_atom_site_fract_z
Re1 Re 0.000 0.000 0.500
B1 B 0.000 0.000 0.000
Pd1 Pd 0.500 0.500 0.500


<B>
# Re3BPd | the Alexandria database | PBE-GGA | optimized geometry
# magnetic moment: 2.965 μB/f.u.
data_Re3BPd
_chemical_formula_sum 'Re3 B1 Pd1'
_space_group_name_H-M_alt 'P m -3 m'
_space_group_IT_number 221
_space_group_name_Hall '-P 4 2 3'
_cell_length_a 4.698
_cell_length_b 4.698
_cell_length_c 4.698
_cell_angle_alpha 90.00
_cell_angle_beta 90.00
_cell_angle_gamma 90.00
loop_
_atom_site_label
_atom_site_type_symbol
_atom_site_fract_x
_atom_site_fract_y
_atom_site_fract_z
Re1 Re 0.000 0.000 0.500
B1 B 0.500 0.500 0.500
Pd1 Pd 0.000 0.000 0.000


On energetic grounds, <A> is preferred over the next structure by 3203 meV per atom.


<A>
# ReBPd3 | the Alexandria database | PBE-GGA | optimized geometry
# magnetic moment: 0.000 μB/f.u.
data_ReBPd3
_chemical_formula_sum 'Re1 B1 Pd3'
_space_group_name_H-M_alt 'P m -3 m'
_space_group_IT_number 221
_space_group_name_Hall '-P 4 2 3'
_cell_length_a 4.812
_cell_length_b 4.812
_cell_length_c 4.812
_cell_angle_alpha 90.00
_cell_angle_beta 90.00
_cell_angle_gamma 90.00
loop_
_atom_site_label
_atom_site_type_symbol
_atom_site_fract_x
_atom_site_fract_y
_atom_site_fract_z
Re1 Re 0.000 0.000 0.000
B1 B 0.500 0.500 0.500
Pd1 Pd 0.000 0.000 0.500


<B>
# ReBPd3 | the Alexandria database | PBE-GGA | optimized geometry
# magnetic moment: 3.459 μB/f.u.
data_ReBPd3
_chemical_formula_sum 'Re1 B1 Pd3'
_space_group_name_H-M_alt 'P m -3 m'
_space_group_IT_number 221
_space_group_name_Hall '-P 4 2 3'
_cell_length_a 4.181
_cell_length_b 4.181
_cell_length_c 4.181
_cell_angle_alpha 90.00
_cell_angle_beta 90.00
_cell_angle_gamma 90.00
loop_
_atom_site_label
_atom_site_type_symbol
_atom_site_fract_x
_atom_site_fract_y
_atom_site_fract_z
Re1 Re 0.000 0.000 0.000
B1 B 0.500 0.500 0.500
Pd1 Pd 0.000 0.500 0.500


On energetic grounds, <B> is preferred over the next structure by 1494 meV per atom.


<A>
# B2PdRh2 | the Alexandria database | PBE-GGA | optimized geometry
# magnetic moment: 0.000 μB/f.u.
data_B2PdRh2
_chemical_formula_sum 'B4 Pd2 Rh4'
_space_group_name_H-M_alt 'P 4/m b m'
_space_group_IT_number 127
_space_group_name_Hall '-P 4 2ab'
_cell_length_a 6.332
_cell_length_b 6.332
_cell_length_c 2.745
_cell_angle_alpha 90.00
_cell_angle_beta 90.00
_cell_angle_gamma 90.00
loop_
_atom_site_label
_atom_site_type_symbol
_atom_site_fract_x
_atom_site_fract_y
_atom_site_fract_z
B1 B 0.147 0.353 0.000
Pd1 Pd 0.000 0.000 0.000
Rh1 Rh 0.149 0.649 0.500


<B>
# B2PdRh2 | the Alexandria database | PBE-GGA | optimized geometry
# magnetic moment: 0.000 μB/f.u.
data_B2PdRh2
_chemical_formula_sum 'B4 Pd2 Rh4'
_space_group_name_H-M_alt 'I 4/m m m'
_space_group_IT_number 139
_space_group_name_Hall '-I 4 2'
_cell_length_a 3.789
_cell_length_b 3.789
_cell_length_c 8.504
_cell_angle_alpha 90.00
_cell_angle_beta 90.00
_cell_angle_gamma 90.00
loop_
_atom_site_label
_atom_site_type_symbol
_atom_site_fract_x
_atom_site_fract_y
_atom_site_fract_z
B1 B 0.000 0.500 0.250
Pd1 Pd 0.000 0.000 0.000
Rh1 Rh 0.000 0.000 0.350


<C>
# B2PdRh2 | the Alexandria database | PBE-GGA | optimized geometry
# magnetic moment: 0.000 μB/f.u.
data_B2PdRh2
_chemical_formula_sum 'B8 Pd4 Rh8'
_space_group_name_H-M_alt 'C 1 c 1'
_space_group_IT_number 9
_space_group_name_Hall 'C -2yc'
_cell_length_a 9.282
_cell_length_b 5.390
_cell_length_c 5.540
_cell_angle_alpha 90.00
_cell_angle_beta 123.29
_cell_angle_gamma 90.00
loop_
_atom_site_label
_atom_site_type_symbol
_atom_site_fract_x
_atom_site_fract_y
_atom_site_fract_z
B1 B 0.000 0.240 0.000
B2 B 0.360 0.248 0.071
Pd1 Pd 0.112 0.430 0.783
Rh1 Rh 0.257 0.072 0.286
Rh2 Rh 0.434 0.397 0.786


<D>
# B2PdRh2 | the Alexandria database | PBE-GGA | optimized geometry
# magnetic moment: 0.000 μB/f.u.
data_B2PdRh2
_chemical_formula_sum 'B4 Pd2 Rh4'
_space_group_name_H-M_alt 'P 1 21/m 1'
_space_group_IT_number 11
_space_group_name_Hall '-P 2yb'
_cell_length_a 3.973
_cell_length_b 3.716
_cell_length_c 7.964
_cell_angle_alpha 90.00
_cell_angle_beta 99.12
_cell_angle_gamma 90.00
loop_
_atom_site_label
_atom_site_type_symbol
_atom_site_fract_x
_atom_site_fract_y
_atom_site_fract_z
B1 B 0.153 0.250 0.006
B2 B 0.299 0.750 0.617
Pd1 Pd 0.209 0.750 0.227
Rh1 Rh 0.246 0.250 0.498
Rh2 Rh 0.313 0.750 0.880


On energetic grounds, <C> is preferred over the next structure by 46 meV per atom.


<A>
# BPdRh3 | the Alexandria database | PBE-GGA | optimized geometry
# magnetic moment: 2.432 μB/f.u.
data_BPdRh3
_chemical_formula_sum 'B1 Pd1 Rh3'
_space_group_name_H-M_alt 'P m -3 m'
_space_group_IT_number 221
_space_group_name_Hall '-P 4 2 3'
_cell_length_a 4.737
_cell_length_b 4.737
_cell_length_c 4.737
_cell_angle_alpha 90.00
_cell_angle_beta 90.00
_cell_angle_gamma 90.00
loop_
_atom_site_label
_atom_site_type_symbol
_atom_site_fract_x
_atom_site_fract_y
_atom_site_fract_z
B1 B 0.000 0.000 0.000
Pd1 Pd 0.500 0.500 0.500
Rh1 Rh 0.000 0.500 0.500


<B>
# BPdRh3 | the Alexandria database | PBE-GGA | optimized geometry
# magnetic moment: 1.566 μB/f.u.
data_BPdRh3
_chemical_formula_sum 'B1 Pd1 Rh3'
_space_group_name_H-M_alt 'P m -3 m'
_space_group_IT_number 221
_space_group_name_Hall '-P 4 2 3'
_cell_length_a 4.092
_cell_length_b 4.092
_cell_length_c 4.092
_cell_angle_alpha 90.00
_cell_angle_beta 90.00
_cell_angle_gamma 90.00
loop_
_atom_site_label
_atom_site_type_symbol
_atom_site_fract_x
_atom_site_fract_y
_atom_site_fract_z
B1 B 0.000 0.000 0.000
Pd1 Pd 0.500 0.500 0.500
Rh1 Rh 0.000 0.000 0.500


On energetic grounds, <B> is preferred over the next structure by 2308 meV per atom.